Entry 1:
Density functional theory data (GGA-PBE) for a relaxed structure of Ce5DyGe4.

Cell and atoms, written as CIF:
```
data_Ce5DyGe4
_chemical_formula_sum 'Ce5 Dy1 Ge4'
_cell_length_a 8.726
_cell_length_b 8.726
_cell_length_c 7.512
_cell_angle_alpha 106.54
_cell_angle_beta 106.54
_cell_angle_gamma 30.33
_symmetry_space_group_name_H-M 'P 1'
_symmetry_Int_Tables_number 1
_symmetry_space_group_name_Hall 'P 1'
loop_
_atom_site_label
_atom_site_type_symbol
_atom_site_fract_x
_atom_site_fract_y
_atom_site_fract_z
Ce1 Ce 0.000 0.000 0.000
Ce2 Ce 0.302 0.302 0.493
Ce3 Ce 0.352 0.352 0.028
Ce4 Ce 0.648 0.648 0.972
Ce5 Ce 0.698 0.698 0.507
Dy1 Dy 0.000 0.000 0.500
Ge1 Ge 0.180 0.180 0.747
Ge2 Ge 0.470 0.470 0.736
Ge3 Ge 0.530 0.530 0.264
Ge4 Ge 0.820 0.820 0.253
```

Calculated values
- Total magnetic moment: 5.3 μB per formula unit
- Space group: C2/m, No. 12
- E_tot: -5.76 eV/atom

---

Entry 2:
Density functional theory data (GGA-PBE) for a relaxed structure of CeDyHgGe.

Cell and atoms, written as CIF:
```
data_CeDyHgGe
_chemical_formula_sum 'Ce1 Dy1 Hg1 Ge1'
_cell_length_a 5.216
_cell_length_b 5.216
_cell_length_c 5.216
_cell_angle_alpha 60.00
_cell_angle_beta 60.00
_cell_angle_gamma 60.00
_symmetry_space_group_name_H-M 'P 1'
_symmetry_Int_Tables_number 1
_symmetry_space_group_name_Hall 'P 1'
loop_
_atom_site_label
_atom_site_type_symbol
_atom_site_fract_x
_atom_site_fract_y
_atom_site_fract_z
Ce1 Ce 0.000 0.000 0.000
Dy1 Dy 0.500 0.500 0.500
Hg1 Hg 0.750 0.750 0.750
Ge1 Ge 0.250 0.250 0.250
```

Calculated values
- Total magnetic moment: 1.0 μB per formula unit
- Space group: F-43m, No. 216
- E_tot: -4.36 eV/atom

---

Entry 3:
Density functional theory data (GGA-PBE) for a relaxed structure of CeDyMgGe.

Cell and atoms, written as CIF:
```
data_CeDyMgGe
_chemical_formula_sum 'Ce1 Dy1 Mg1 Ge1'
_cell_length_a 5.186
_cell_length_b 5.186
_cell_length_c 5.186
_cell_angle_alpha 60.00
_cell_angle_beta 60.00
_cell_angle_gamma 60.00
_symmetry_space_group_name_H-M 'P 1'
_symmetry_Int_Tables_number 1
_symmetry_space_group_name_Hall 'P 1'
loop_
_atom_site_label
_atom_site_type_symbol
_atom_site_fract_x
_atom_site_fract_y
_atom_site_fract_z
Ce1 Ce 0.000 0.000 0.000
Dy1 Dy 0.500 0.500 0.500
Mg1 Mg 0.750 0.750 0.750
Ge1 Ge 0.250 0.250 0.250
```

Calculated values
- Total magnetic moment: 1.1 μB per formula unit
- Space group: F-43m, No. 216
- E_tot: -4.49 eV/atom